(1)
Here is Zr7Al2Au2 after structural relaxation from Alexandria via LeMat-Bulk. Energies are from GGA-PBE.

Energy = -73.3 eV per cell
ΔE_f = 0.048 eV per atom
Space group = Cmmm (65)
Spin magnetization = 0.0 μB per formula unit

Lattice parameters (Å, degrees): 6.0494 7.4218 6.0516 90.00 111.29 90.00
Last column: nearest neighbours and their distance in Å.
Fractional coordinates of all 11 atoms:
Au (0.1907, 0.5000, 0.1907)  1 Au 2.60, 2 Zr 2.75
Zr (0.0000, 0.0000, 0.0000)  2 Al 2.93
Zr (0.5000, 0.2845, 0.0000)  2 Al 2.75, 2 Au 2.99, 2 Zr 3.03
Zr (0.0000, 0.7155, 0.5000)  2 Al 2.75, 2 Au 2.99, 2 Zr 3.03
Zr (0.5000, 0.7382, 0.5000)  2 Au 2.75, 2 Al 2.84, 4 Zr 3.03
Zr (0.5000, 0.2618, 0.5000)  2 Au 2.75, 2 Al 2.84, 4 Zr 3.03
Au (0.8093, 0.5000, 0.8093)  1 Au 2.60, 2 Zr 2.75
Zr (0.0000, 0.2845, 0.5000)  2 Al 2.75, 2 Au 2.99, 2 Zr 3.03
Al (0.2929, 0.0000, 0.7072)  7 Zr 2.75-2.93
Zr (0.5000, 0.7155, 0.0000)  2 Al 2.75, 2 Au 2.99, 2 Zr 3.03
Al (0.7071, 0.0000, 0.2928)  7 Zr 2.75-2.93

(2)
Here is Ba8Tl2Rh3 after structural relaxation from Alexandria via LeMat-Bulk. Energies are from GGA-PBE.

Energy = -44.3 eV per cell
ΔE_f = -0.165 eV per atom
Space group = C2/m (12)
Spin magnetization = 0.0 μB per formula unit

Lattice parameters (Å, degrees): 7.8734 8.5004 10.1692 114.71 109.14 90.00
Last column: nearest neighbours and their distance in Å.
Fractional coordinates of all 13 atoms:
Rh (0.5000, 0.0000, 0.0000)  6 Ba 3.03-3.09
Rh (0.0000, 0.3145, 0.0000)  6 Ba 3.01-3.37, 1 Rh 3.15
Ba (0.9145, 0.0925, 0.1850)  3 Rh 3.09-3.37
Ba (0.9829, 0.6361, 0.2721)  2 Rh 3.01
Ba (0.5936, 0.6542, 0.8055)  2 Rh 3.03-3.10
Ba (0.5936, 0.1513, 0.8055)  2 Rh 3.03-3.10
Ba (0.0855, 0.9075, 0.8150)  3 Rh 3.09-3.37
Ba (0.4064, 0.3458, 0.1945)  2 Rh 3.03-3.10
Tl (0.3375, 0.2481, 0.4963)  6 Ba 3.53-3.85
Ba (0.4064, 0.8487, 0.1945)  2 Rh 3.03-3.10
Rh (0.0000, 0.6855, 0.0000)  6 Ba 3.01-3.37, 1 Rh 3.15
Ba (0.0171, 0.3639, 0.7279)  2 Rh 3.01
Tl (0.6625, 0.7519, 0.5037)  6 Ba 3.53-3.85

(3)
Here is BaLi2In2 after structural relaxation from Alexandria via LeMat-Bulk. Energies are from GGA-PBE.

Relative energy among the computed polymorphs = 74 meV/atom
Energy = -24.8 eV per cell
ΔE_f = -0.230 eV per atom
Space group = P4/mbm (127)
Spin magnetization = 0.0 μB per formula unit

Lattice parameters (Å, degrees): 8.9012 8.9012 3.3205 90.00 90.00 90.00
Last column: nearest neighbours and their distance in Å.
Fractional coordinates of all 10 atoms:
Ba (0.0000, 0.0000, 0.0000)  2 Ba 3.32, 4 Li 3.55, 8 In 3.71
Li (0.3798, 0.8798, 0.0000)  3 Li 3.03-3.32, 6 In 3.08-3.15
In (0.1671, 0.6671, 0.5000)  6 Li 3.08-3.15, 2 In 3.32
In (0.8329, 0.3329, 0.5000)  6 Li 3.08-3.15, 2 In 3.32
In (0.3329, 0.1671, 0.5000)  6 Li 3.08-3.15, 2 In 3.32
In (0.6671, 0.8329, 0.5000)  6 Li 3.08-3.15, 2 In 3.32
Li (0.1202, 0.3798, 0.0000)  3 Li 3.03-3.32, 6 In 3.08-3.15
Ba (0.5000, 0.5000, 0.0000)  2 Ba 3.32, 4 Li 3.55, 8 In 3.71
Li (0.8798, 0.6202, 0.0000)  3 Li 3.03-3.32, 6 In 3.08-3.15
Li (0.6202, 0.1202, 0.0000)  3 Li 3.03-3.32, 6 In 3.08-3.15